# 1
Here is a geometry-optimized TlAsPt structure from Alexandria. Energies are from GGA-PBE.

Lattice parameters (Å, degrees): 3.313 3.313 12.946 90.00 90.00 90.00
Space group I4mm (No. 107)
Asymmetric unit:
Tl  0.000  0.000  0.000 (multiplicity 2)
As  0.000  0.000  0.739 (multiplicity 2)
Pt  0.000  0.000  0.318 (multiplicity 2)

Energy   -26.7 eV per cell
Formation enthalpy at 0 K   -102.1 meV/atom

***

# 2
Here is a geometry-optimized TlAsPt2 structure from Alexandria. Energies are from GGA-PBE.

Lattice parameters (Å, degrees): 3.307 4.417 10.395 90.00 90.00 90.00
Space group Imm2 (No. 44)
Asymmetric unit:
Tl  0.000  0.000  0.000 (multiplicity 2)
As  0.000  0.500  0.759 (multiplicity 2)
Pt  0.000  0.000  0.444 (multiplicity 2)
Pt  0.000  0.500  0.191 (multiplicity 2)

Energy   -38.0 eV per cell
Formation enthalpy at 0 K   26.0 meV/atom

***

# 3
Here is a geometry-optimized TlAsPt2 structure from Alexandria. Energies are from GGA-PBE.

Lattice parameters (Å, degrees): 3.549 3.549 6.105 90.00 90.00 90.00
Space group P4mm (No. 99)
Asymmetric unit:
Tl  0.000  0.000  0.000 (multiplicity 1)
As  0.500  0.500  0.368 (multiplicity 1)
Pt  0.000  0.000  0.494 (multiplicity 1)
Pt  0.500  0.500  0.769 (multiplicity 1)

Energy   -19.5 eV per cell
Formation enthalpy at 0 K   -99.4 meV/atom

***

# 4
Here is a geometry-optimized TlAsPt4 structure from Alexandria. Energies are from GGA-PBE.

Lattice parameters (Å, degrees): 7.613 7.613 7.613 90.00 90.00 90.00
Space group F-43m (No. 216)
Asymmetric unit:
Tl  0.000  0.000  0.000 (multiplicity 4)
As  0.250  0.250  0.750 (multiplicity 4)
Pt  0.125  0.125  0.375 (multiplicity 16)

Energy   -121.3 eV per cell
Formation enthalpy at 0 K   144.1 meV/atom

***

# 5
Here is a geometry-optimized TlAs2Pt structure from Alexandria. Energies are from GGA-PBE.

Lattice parameters (Å, degrees): 3.119 3.119 8.918 90.00 90.00 90.00
Space group P4/mmm (No. 123)
Asymmetric unit:
Tl  0.000  0.000  0.000 (multiplicity 1)
As  0.500  0.500  0.318 (multiplicity 2)
Pt  0.000  0.000  0.500 (multiplicity 1)

Energy   -17.6 eV per cell
Formation enthalpy at 0 K   14.9 meV/atom

***

# 6
Here is a geometry-optimized TlAsPt4 structure from Alexandria. Energies are from GGA-PBE.

Lattice parameters (Å, degrees): 12.766 6.364 5.379 90.00 92.23 90.00
Space group C2/c (No. 15)
Asymmetric unit:
Tl  0.000  0.144  0.250 (multiplicity 4)
As  0.250  0.250  0.000 (multiplicity 4)
Pt  0.096  0.456  0.881 (multiplicity 8)
Pt  0.179  0.105  0.600 (multiplicity 8)

Energy   -126.3 eV per cell
Formation enthalpy at 0 K   -66.0 meV/atom

***

# 7
Here is a geometry-optimized TlAsPt2 structure from Alexandria. Energies are from GGA-PBE.

Lattice parameters (Å, degrees): 8.652 3.415 5.685 90.00 101.09 90.00
Space group Cm (No. 8)
Asymmetric unit:
Tl  0.000  0.000  0.000 (multiplicity 2)
As  0.221  0.000  0.584 (multiplicity 2)
Pt  0.004  0.500  0.517 (multiplicity 2)
Pt  0.256  0.500  0.263 (multiplicity 2)

Energy   -38.9 eV per cell
Formation enthalpy at 0 K   -82.8 meV/atom

***

# 8
Here is a geometry-optimized TlAsPt2 structure from Alexandria. Energies are from GGA-PBE.

Lattice parameters (Å, degrees): 2.893 3.676 7.342 90.00 93.14 90.00
Space group P2/m (No. 10)
Asymmetric unit:
Tl  0.000  0.000  0.000 (multiplicity 1)
As  0.500  0.000  0.500 (multiplicity 1)
Pt  0.460  0.500  0.262 (multiplicity 2)

Energy   -19.0 eV per cell
Formation enthalpy at 0 K   33.5 meV/atom

***

# 9
Here is a geometry-optimized TlAs2Pt structure from Alexandria. Energies are from GGA-PBE.

Lattice parameters (Å, degrees): 6.824 6.824 6.824 90.00 90.00 90.00
Space group Fm-3m (No. 225)
Asymmetric unit:
Tl  0.000  0.000  0.000 (multiplicity 4)
As  0.250  0.250  0.250 (multiplicity 8)
Pt  0.000  0.000  0.500 (multiplicity 4)

Energy   -65.4 eV per cell
Formation enthalpy at 0 K   341.7 meV/atom

***

# 10
Here is a geometry-optimized TlAs2Pt structure from Alexandria. Energies are from GGA-PBE.

Lattice parameters (Å, degrees): 4.122 4.122 4.737 90.00 90.00 90.00
Space group P4/mmm (No. 123)
Asymmetric unit:
Tl  0.000  0.000  0.000 (multiplicity 1)
As  0.000  0.500  0.500 (multiplicity 2)
Pt  0.500  0.500  0.000 (multiplicity 1)

Energy   -16.4 eV per cell
Formation enthalpy at 0 K   317.6 meV/atom

***

# 11
Here is a geometry-optimized Tl2AsPt2 structure from Alexandria. Energies are from GGA-PBE.

Lattice parameters (Å, degrees): 6.387 6.387 5.733 90.00 90.00 90.00
Space group P4/mbm (No. 127)
Asymmetric unit:
Tl  0.180  0.320  0.000 (multiplicity 4)
As  0.000  0.000  0.500 (multiplicity 2)
Pt  0.150  0.650  0.500 (multiplicity 4)

Energy   -42.3 eV per cell
Formation enthalpy at 0 K   65.6 meV/atom

***

# 12
Here is a geometry-optimized TlAs2Pt structure from Alexandria. Energies are from GGA-PBE.

Lattice parameters (Å, degrees): 6.120 6.120 11.887 90.00 90.00 90.00
Space group I-42d (No. 122)
Asymmetric unit:
Tl  0.000  0.000  0.000 (multiplicity 4)
As  0.186  0.250  0.625 (multiplicity 8)
Pt  0.000  0.000  0.500 (multiplicity 4)

Energy   -71.2 eV per cell
Formation enthalpy at 0 K   -22.6 meV/atom

***

Q: Which of these has the highest formation enthalpy at 0 K?
A: number 9

***

Q: The highest energy belongs to which entry?
A: number 10